No. 1
Here is crystalline TbNdCo at its relaxed geometry from the Open Quantum Materials Database. Energies are from PBE.

The structure in CIF format:
```
data_TbNdCo
_cell_length_a 6.682
_cell_length_b 6.682
_cell_length_c 6.682
_cell_angle_alpha 90.00
_cell_angle_beta 90.00
_cell_angle_gamma 90.00
_symmetry_space_group_name_H-M 'F -4 3 m'
_symmetry_Int_Tables_number 216
_symmetry_space_group_name_Hall 'F -4 2 3'
loop_
_atom_site_label
_atom_site_type_symbol
_atom_site_fract_x
_atom_site_fract_y
_atom_site_fract_z
Tb1 Tb 0.000 0.000 0.000
Nd1 Nd 0.250 0.250 0.750
Co1 Co 0.000 0.000 0.500
```

* energy relative to the elements: 229 kJ/mol of formula units
* E_tot: -4.708 eV/atom

No. 2
Here is crystalline NdTlCoTe3 at its relaxed geometry from the Open Quantum Materials Database. Energies are from PBE.

The structure in CIF format:
```
data_NdTlCoTe3
_cell_length_a 4.271
_cell_length_b 15.897
_cell_length_c 11.606
_cell_angle_alpha 90.00
_cell_angle_beta 90.00
_cell_angle_gamma 90.00
_symmetry_space_group_name_H-M 'C m c m'
_symmetry_Int_Tables_number 63
_symmetry_space_group_name_Hall '-C 2c 2'
loop_
_atom_site_label
_atom_site_type_symbol
_atom_site_fract_x
_atom_site_fract_y
_atom_site_fract_z
Nd1 Nd 0.000 0.000 0.000
Tl1 Tl 0.000 0.246 0.250
Co1 Co 0.000 0.473 0.750
Te1 Te 0.000 0.072 0.750
Te2 Te 0.000 0.367 0.580
```

* E_tot: -4.542 eV/atom

No. 3
Here is crystalline NdTlCoTe3 at its relaxed geometry from the Open Quantum Materials Database. Energies are from PBE.

The structure in CIF format:
```
data_NdTlCoTe3
_cell_length_a 12.479
_cell_length_b 4.433
_cell_length_c 13.213
_cell_angle_alpha 90.00
_cell_angle_beta 90.00
_cell_angle_gamma 90.00
_symmetry_space_group_name_H-M 'P n m a'
_symmetry_Int_Tables_number 62
loop_
_symmetry_equiv_pos_as_xyz
'x,y,z'
'-x,-y,-z'
'-x+1/2,-y,z+1/2'
'x+1/2,y,-z+1/2'
'x+1/2,-y+1/2,-z+1/2'
'-x+1/2,y+1/2,z+1/2'
'-x,y+1/2,-z'
'x,-y+1/2,z'
loop_
_atom_site_label
_atom_site_type_symbol
_atom_site_fract_x
_atom_site_fract_y
_atom_site_fract_z
Nd1 Nd 0.026 0.250 0.178
Tl1 Tl 0.180 0.250 0.495
Co1 Co 0.244 0.750 0.301
Te1 Te 0.044 0.750 0.347
Te2 Te 0.111 0.250 0.941
Te3 Te 0.217 0.750 0.709
```

* E_tot: -4.532 eV/atom

No. 4
Here is crystalline Nd3Y3CoTe2 at its relaxed geometry from the Open Quantum Materials Database. Energies are from PBE.

The structure in CIF format:
```
data_Nd3Y3CoTe2
_cell_length_a 8.4807
_cell_length_b 8.4807
_cell_length_c 4.0488
_cell_angle_alpha 90.00
_cell_angle_beta 90.00
_cell_angle_gamma 120.00
_symmetry_space_group_name_H-M 'P -6 2 m'
_symmetry_Int_Tables_number 189
_symmetry_space_group_name_Hall 'P -6 -2'
loop_
_atom_site_label
_atom_site_type_symbol
_atom_site_fract_x
_atom_site_fract_y
_atom_site_fract_z
Nd1 Nd 0.0000 0.5929 0.0000
Y1 Y 0.0000 0.2320 0.5000
Co1 Co 0.0000 0.0000 0.0000
Te1 Te 0.3333 0.6667 0.5000
```

* E_tot: -5.935 eV/atom

No. 5
Here is crystalline Nd3Y3CoTe2 at its relaxed geometry from the Open Quantum Materials Database. Energies are from PBE.

The structure in CIF format:
```
data_Nd3Y3CoTe2
_cell_length_a 8.5846
_cell_length_b 8.5846
_cell_length_c 3.8926
_cell_angle_alpha 90.00
_cell_angle_beta 90.00
_cell_angle_gamma 120.00
_symmetry_space_group_name_H-M 'P -6 2 m'
_symmetry_Int_Tables_number 189
_symmetry_space_group_name_Hall 'P -6 -2'
loop_
_atom_site_label
_atom_site_type_symbol
_atom_site_fract_x
_atom_site_fract_y
_atom_site_fract_z
Nd1 Nd 0.0000 0.2385 0.0000
Y1 Y 0.0000 0.5899 0.5000
Co1 Co 0.0000 0.0000 0.5000
Te1 Te 0.3333 0.6667 0.0000
```

* E_tot: -5.856 eV/atom

No. 6
Here is crystalline Nd2ThCo2 at its relaxed geometry from the Open Quantum Materials Database. Energies are from PBE.

The structure in CIF format:
```
data_Nd2ThCo2
_cell_length_a 10.681
_cell_length_b 6.310
_cell_length_c 7.179
_cell_angle_alpha 90.00
_cell_angle_beta 100.80
_cell_angle_gamma 90.00
_symmetry_space_group_name_H-M 'C 1 2/c 1'
_symmetry_Int_Tables_number 15
loop_
_symmetry_equiv_pos_as_xyz
'x,y,z'
'-x,-y,-z'
'-x,y,-z+1/2'
'x,-y,z+1/2'
'x+1/2,y+1/2,z'
'-x+1/2,-y+1/2,-z'
'-x+1/2,y+1/2,-z+1/2'
'x+1/2,-y+1/2,z+1/2'
loop_
_atom_site_label
_atom_site_type_symbol
_atom_site_fract_x
_atom_site_fract_y
_atom_site_fract_z
Nd1 Nd 0.154 0.101 0.148
Th1 Th 0.000 0.427 0.750
Co1 Co 0.155 0.341 0.510
```

* energy relative to the elements: -90 kJ/mol of formula units
* E_tot: -6.418 eV/atom

No. 7
Here is crystalline Nd12TlCo6 at its relaxed geometry from the Open Quantum Materials Database. Energies are from PBE.

The structure in CIF format:
```
data_Nd12TlCo6
_cell_length_a 9.998
_cell_length_b 9.998
_cell_length_c 9.998
_cell_angle_alpha 90.00
_cell_angle_beta 90.00
_cell_angle_gamma 90.00
_symmetry_space_group_name_H-M 'I m -3'
_symmetry_Int_Tables_number 204
_symmetry_space_group_name_Hall '-I 2 2 3'
loop_
_atom_site_label
_atom_site_type_symbol
_atom_site_fract_x
_atom_site_fract_y
_atom_site_fract_z
Nd1 Nd 0.000 0.193 0.306
Tl1 Tl 0.000 0.000 0.000
Co1 Co 0.000 0.389 0.500
```

* E_tot: -5.509 eV/atom

No. 8
Here is crystalline NdTlCo at its relaxed geometry from the Open Quantum Materials Database. Energies are from PBE.

The structure in CIF format:
```
data_NdTlCo
_cell_length_a 6.624
_cell_length_b 6.624
_cell_length_c 6.624
_cell_angle_alpha 90.00
_cell_angle_beta 90.00
_cell_angle_gamma 90.00
_symmetry_space_group_name_H-M 'F -4 3 m'
_symmetry_Int_Tables_number 216
_symmetry_space_group_name_Hall 'F -4 2 3'
loop_
_atom_site_label
_atom_site_type_symbol
_atom_site_fract_x
_atom_site_fract_y
_atom_site_fract_z
Nd1 Nd 0.000 0.000 0.000
Tl1 Tl 0.000 0.000 0.500
Co1 Co 0.250 0.250 0.250
```

* E_tot: -4.707 eV/atom

No. 9
Here is crystalline NdTmTlCo2 at its relaxed geometry from the Open Quantum Materials Database. Energies are from PBE.

The structure in CIF format:
```
data_NdTmTlCo2
_cell_length_a 3.912
_cell_length_b 3.835
_cell_length_c 14.014
_cell_angle_alpha 90.00
_cell_angle_beta 90.00
_cell_angle_gamma 90.00
_symmetry_space_group_name_H-M 'A m m 2'
_symmetry_Int_Tables_number 38
loop_
_symmetry_equiv_pos_as_xyz
'x,y,z'
'-x,-y,z'
'-x,y,z'
'x,-y,z'
'x,y+1/2,z+1/2'
'-x,-y+1/2,z+1/2'
'-x,y+1/2,z+1/2'
'x,-y+1/2,z+1/2'
loop_
_atom_site_label
_atom_site_type_symbol
_atom_site_fract_x
_atom_site_fract_y
_atom_site_fract_z
Nd1 Nd 0.000 0.000 0.000
Tm1 Tm 0.000 0.000 0.720
Tl1 Tl 0.500 0.000 0.356
Co1 Co 0.500 0.000 0.158
Co2 Co 0.500 0.000 0.573
```

* E_tot: -5.408 eV/atom

No. 10
Here is crystalline NdCoW at its relaxed geometry from the Open Quantum Materials Database. Energies are from PBE.

The structure in CIF format:
```
data_NdCoW
_cell_length_a 6.386
_cell_length_b 6.386
_cell_length_c 6.386
_cell_angle_alpha 90.00
_cell_angle_beta 90.00
_cell_angle_gamma 90.00
_symmetry_space_group_name_H-M 'F -4 3 m'
_symmetry_Int_Tables_number 216
_symmetry_space_group_name_Hall 'F -4 2 3'
loop_
_atom_site_label
_atom_site_type_symbol
_atom_site_fract_x
_atom_site_fract_y
_atom_site_fract_z
Nd1 Nd 0.000 0.000 0.000
Co1 Co 0.250 0.250 0.750
W1 W 0.250 0.250 0.250
```

* energy relative to the elements: 555 kJ/mol of formula units
* E_tot: -6.359 eV/atom

No. 11
Here is crystalline Co17Ni12 at its relaxed geometry from the Open Quantum Materials Database. Energies are from PBE.

The structure in CIF format:
```
data_Co17Ni12
_cell_length_a 8.572
_cell_length_b 8.572
_cell_length_c 8.572
_cell_angle_alpha 90.00
_cell_angle_beta 90.00
_cell_angle_gamma 90.00
_symmetry_space_group_name_H-M 'I -4 3 m'
_symmetry_Int_Tables_number 217
_symmetry_space_group_name_Hall 'I -4 2 3'
loop_
_atom_site_label
_atom_site_type_symbol
_atom_site_fract_x
_atom_site_fract_y
_atom_site_fract_z
Co1 Co 0.000 0.000 0.000
Co2 Co 0.091 0.091 0.720
Co3 Co 0.175 0.175 0.175
Ni1 Ni 0.041 0.358 0.642
```

* energy relative to the elements: 175 kJ/mol of formula units
* E_tot: -6.407 eV/atom

No. 12
Here is crystalline CoNi2 at its relaxed geometry from the Open Quantum Materials Database. Energies are from PBE.

The structure in CIF format:
```
data_CoNi2
_cell_length_a 8.546
_cell_length_b 8.546
_cell_length_c 4.500
_cell_angle_alpha 90.00
_cell_angle_beta 90.00
_cell_angle_gamma 90.00
_symmetry_space_group_name_H-M 'P 42/m n m'
_symmetry_Int_Tables_number 136
_symmetry_space_group_name_Hall '-P 4n 2n'
loop_
_atom_site_label
_atom_site_type_symbol
_atom_site_fract_x
_atom_site_fract_y
_atom_site_fract_z
Co1 Co 0.000 0.000 0.000
Co2 Co 0.037 0.369 0.500
Ni1 Ni 0.064 0.263 0.000
Ni2 Ni 0.099 0.099 0.500
Ni3 Ni 0.183 0.817 0.250
```

* energy relative to the elements: 26 kJ/mol of formula units
* E_tot: -5.991 eV/atom